[1]
ErZrCuTc PBE-GGA optimized geometry; V = 75 Å³/f.u.; spin magnetization = 0.00 μB/atom; symmetry = F-43m (216); E_form = -197 meV/atom
1.0
4.7308 0.0000 0.0000
2.3654 4.0970 0.0000
2.3654 1.3657 3.8627
Zr Tc Cu Er
1 1 1 1
Direct
0.2500 0.2500 0.2500
0.0000 0.0000 0.0000
0.5000 0.5000 0.5000
0.7500 0.7500 0.7500

***

[2]
Er5CuTe2 PBE-GGA optimized geometry; V = 231 Å³/f.u.; spin magnetization = 0.00 μB/atom; uncorrected formation energy = -447 meV/atom; symmetry = Cmcm (63)
1.0
5.8569 0.0000 0.0000
-2.9285 6.2522 0.0000
0.0000 0.0000 12.6413
Er Te Cu
10 4 2
Direct
0.9445 0.8891 0.8862
0.0555 0.1109 0.1138
0.6297 0.2595 0.2500
0.3884 0.7767 0.4183
0.9445 0.8891 0.6138
0.0555 0.1109 0.3862
0.3884 0.7767 0.0817
0.3703 0.7405 0.7500
0.6116 0.2233 0.9183
0.6116 0.2233 0.5817
0.8068 0.6136 0.0863
0.1932 0.3864 0.5863
0.1932 0.3864 0.9137
0.8068 0.6136 0.4137
0.2298 0.4596 0.2500
0.7702 0.5404 0.7500